Below is a relaxed structure of Ga2Ni2Ru, with properties calculated at the PBE level.

Lattice parameters (Å, degrees): 6.912 6.912 2.652 90.00 90.00 90.00
Sites, in units of the cell vectors:
Ga (0.148, 0.352, 0.000)
Ga (0.352, 0.852, 0.000)
Ga (0.648, 0.148, 0.000)
Ga (0.852, 0.648, 0.000)
Ni (0.150, 0.650, 0.500)
Ni (0.350, 0.150, 0.500)
Ni (0.650, 0.850, 0.500)
Ni (0.850, 0.350, 0.500)
Ru (0.000, 0.000, 0.000)
Ru (0.500, 0.500, 0.000)

**Energy relative to the lowest polymorph listed for this composition**: 0.000 eV/atom
**Crystal system**: tetragonal
**Total moment**: 0.01 μB/f.u.
**Formation enthalpy at 0 K**: -0.172 eV/atom
**N(E_F)**: 8.29 states/eV/cell